V2Cd2Cl2O5 PBE with a Hubbard U optimized geometry; total DFT energy (no corrections) = -60.83 eV/f.u.; SG = No. 139; calculated volume = 16.53 Å³/atom
1.0
-1.6075 -2.3983 -2.3851
0.5080 -2.7819 2.4550
-11.0241 5.1177 5.2238
O V Cl Cd
5 2 2 2
direct
0.5872 0.0872 0.1744
0.4128 0.9128 0.8256
0.0872 0.5872 0.1744
0.9128 0.4128 0.8256
0.0000 0.0000 0.0000
0.9315 0.9315 0.8630
0.0685 0.0685 0.1370
0.1922 0.1922 0.3844
0.8078 0.8078 0.6156
0.3552 0.3552 0.7104
0.6448 0.6448 0.2896